A relaxed structure of TcGe, computed with GGA-PBE.

Cell: 10.7757 10.7757 2.9031 Å, 90.00 90.00 120.00°
Closest atoms and distances in Å follow each position.
Positions (direct):
Ge1 0.8320 0.5446 0.2500  4 Tc 2.45-2.58
Tc1 0.0520 0.6146 0.7500  4 Ge 2.45-2.58, 2 Tc 2.59
Ge2 0.2874 0.8320 0.7500  4 Tc 2.45-2.58
Tc2 0.3854 0.4374 0.7500  4 Ge 2.45-2.58, 2 Tc 2.59
Tc3 0.9480 0.3854 0.2500  4 Ge 2.45-2.58, 2 Tc 2.59
Tc4 0.5626 0.9480 0.7500  4 Ge 2.45-2.58, 2 Tc 2.59
Tc5 0.4374 0.0520 0.2500  4 Ge 2.45-2.58, 2 Tc 2.59
Ge3 0.1680 0.4554 0.7500  4 Tc 2.45-2.58
Ge4 0.4554 0.2874 0.2500  4 Tc 2.45-2.58
Tc6 0.6146 0.5626 0.2500  4 Ge 2.45-2.58, 2 Tc 2.59
Ge5 0.7126 0.1680 0.2500  4 Tc 2.45-2.58
Ge6 0.5446 0.7126 0.7500  4 Tc 2.45-2.58

Calculated values
The offset from the most stable computed form is 0.6588 eV per atom. The space group is P6_3/m. As for the formation energy: 0.96 eV/f.u.



A relaxed structure of GaHgRuS, computed with GGA-PBE.

Cell: 2.9532 4.2181 12.2464 Å, 90.00 90.00 90.00°
Closest atoms and distances in Å follow each position.
Positions (direct):
Ru1 0.5000 0.5000 0.5338  2 S 2.31
S1 0.0000 0.0000 0.1792  2 Ru 2.31
Ga1 0.0000 0.0000 0.5077  4 Ru 2.59
Hg1 0.0000 0.5000 0.3265  2 S 2.78, 2 Ru 2.94, 2 Hg 2.95, 2 Ga 3.06
Ga2 0.0000 0.5000 0.0077  4 Ru 2.59
Ru2 0.5000 0.0000 0.0338  2 S 2.31
Hg2 0.0000 0.0000 0.8265  2 S 2.78, 2 Ru 2.94, 2 Hg 2.95, 2 Ga 3.06
S2 0.0000 0.5000 0.6792  2 Ru 2.31

Calculated values
The offset from the most stable computed form is 0.0000 eV per atom. The space group is Amm2.